Al2TlW (PBE, optimized geometry); polymorph energy (0 for the lowest one) = 150.7 meV per atom; V = 17.54 A^3/atom; magnetization = 0.76 μB per formula unit; calculated density = 10.5 g/cm3; N(E_F) = 1.19 states/eV per cell; ΔE_f = 0.4360 eV per atom; symmetry = I4/mmm
1.0
5.117 -0.002 0.000
1.876 4.761 0.000
-3.496 -2.380 2.880
Tl Al W
1 2 1
Direct
0.250 0.750 0.500
0.500 0.500 0.000
0.000 0.000 0.000
0.750 0.250 0.500